LiCdCoBi | GGA-PBE | optimized geometry

Cell lengths 6.508, 6.508, 6.508 Å; angles 90.00, 90.00, 90.00 degrees
Space group F-43m (No. 216)
Inequivalent atoms, fractional coordinates:
Li  0.000  0.000  0.000 (multiplicity 4)
Cd  0.250  0.250  0.750 (multiplicity 4)
Co  0.000  0.000  0.500 (multiplicity 4)
Bi  0.250  0.250  0.250 (multiplicity 4)

* E_tot: -3.44 eV per atom
* ρ: 9330 kg/m3
* calculated volume: 275.7 Å³ per cell